# 1
The following is a PBE calculation of SiAg2PbBr after structural relaxation, from Alexandria.

The space group is P4/mmm (No. 123) and the conventional cell measures 5.383, 5.383 and 5.856 Å, with angles of 90.00, 90.00 and 90.00 degrees. The inequivalent atoms are Si at (0.000, 0.000, 0.000), Ag at (0.000, 0.500, 0.500), Pb at (0.500, 0.500, 0.500) and Br at (0.500, 0.500, 0.000).

As for the crystal system: tetragonal. The calculation puts the density of states at the Fermi level at 2.55 states/eV per cell. For the total energy, the calculation gives -2.390 eV per atom.

=====

# 2
The following is a PBE calculation of LaNdTmAl after structural relaxation, from Alexandria.

The space group is P4mm (No. 99) and the conventional cell measures 3.555, 3.555 and 9.367 Å, with angles of 90.00, 90.00 and 90.00 degrees. The inequivalent atoms are La at (0.000, 0.000, 0.000), Nd at (0.500, 0.500, 0.693), Tm at (0.500, 0.500, 0.280) and Al at (0.000, 0.000, 0.476).

As for the crystal system: tetragonal. The relative energy among the computed polymorphs is 0 meV/atom. The value obtained for the energy of formation is -0.17 eV per atom. The calculation puts the density of states at the Fermi level at 4.04 states/eV per cell.

=====

# 3
The following is a PBE calculation of CeErF2 after structural relaxation, from Alexandria.

The space group is R-3m (No. 166, hexagonal axes) and the conventional cell measures 3.4561, 3.4561 and 23.7044 Å, with angles of 90.00, 90.00 and 120.00 degrees. The inequivalent atoms are Ce at (0.0000, 0.0000, 0.0000), Er at (0.0000, 0.0000, 0.5000) and F at (0.0000, 0.0000, 0.4079).

As for the crystal system: trigonal. The calculation puts the density of states at the Fermi level at 15.92 states/eV per cell. For the total energy, the calculation gives -5.888 eV per atom.

=====

# 4
The following is a PBE calculation of AlB2F8 after structural relaxation, from Alexandria.

The space group is C2/m (No. 12) and the conventional cell measures 9.872, 6.130 and 4.927 Å, with angles of 90.00, 103.68 and 90.00 degrees. The inequivalent atoms are Al at (0.000, 0.000, 0.000), B at (0.195, 0.000, 0.666), F at (0.130, 0.184, 0.765), F at (0.152, 0.000, 0.360) and F at (0.164, 0.500, 0.250).

As for the crystal system: monoclinic. The calculation puts the density of states at the Fermi level at 2.97 states/eV per cell. For the total energy, the calculation gives -5.520 eV per atom.

=====

# 5
The following is a PBE calculation of InCu2W after structural relaxation, from Alexandria.

The space group is I-4m2 (No. 119) and the conventional cell measures 3.899, 3.899 and 8.156 Å, with angles of 90.00, 90.00 and 90.00 degrees. The inequivalent atoms are In at (0.000, 0.000, 0.000), Cu at (0.000, 0.000, 0.500), Cu at (0.000, 0.500, 0.250) and W at (0.000, 0.500, 0.750).

As for the crystal system: tetragonal. The value obtained for the energy of formation is 0.60 eV per atom. The calculation puts the density of states at the Fermi level at 9.28 states/eV per cell.

=====

# 6
The following is a PBE calculation of Pm3RhSeCl after structural relaxation, from Alexandria.

The space group is P2_1/m (No. 11) and the conventional cell measures 8.434, 4.077 and 9.970 Å, with angles of 90.00, 93.89 and 90.00 degrees. The inequivalent atoms are Pm at (0.135, 0.250, 0.323), Pm at (0.154, 0.250, 0.910), Pm at (0.329, 0.750, 0.621), Rh at (0.084, 0.250, 0.616), Se at (0.402, 0.750, 0.335) and Cl at (0.378, 0.750, 0.909).

As for the crystal system: monoclinic. The calculation puts the density of states at the Fermi level at 6.75 states/eV per cell. For the total energy, the calculation gives -5.718 eV per atom.

=====

# 7
The following is a PBE calculation of ThMgZr4N8 after structural relaxation, from Alexandria.

The space group is R3m (No. 160, hexagonal axes) and the conventional cell measures 6.6201, 6.6201 and 15.9186 Å, with angles of 90.00, 90.00 and 120.00 degrees. The inequivalent atoms are Th at (0.0000, 0.0000, 0.0000), Mg at (0.0000, 0.0000, 0.3823), Zr at (0.0000, 0.0000, 0.7582), Zr at (0.0005, 0.5003, 0.8801), N at (0.0000, 0.0000, 0.1428), N at (0.0000, 0.0000, 0.6244), N at (0.0108, 0.5054, 0.1388) and N at (0.1873, 0.3747, 0.9596).

As for the crystal system: trigonal. The calculation puts the density of states at the Fermi level at 25.04 states/eV per cell. For the total energy, the calculation gives -8.981 eV per atom.

=====

# 8
The following is a PBE calculation of LaTbNd3Dy after structural relaxation, from Alexandria.

The space group is C2/m (No. 12) and the conventional cell measures 20.705, 5.844 and 6.874 Å, with angles of 90.00, 91.16 and 90.00 degrees. The inequivalent atoms are La at (0.146, 0.000, 0.027), Tb at (0.143, 0.000, 0.476), Nd at (0.019, 0.000, 0.748), Nd at (0.159, 0.500, 0.745), Nd at (0.220, 0.500, 0.263) and Dy at (0.057, 0.500, 0.266).

As for the crystal system: monoclinic. The value obtained for the energy of formation is 0.18 eV per atom. The calculation puts the density of states at the Fermi level at 34.89 states/eV per cell.